First-principles (meta-GGA SCAN) data for MnZn2Pt at its PBEsol-relaxed geometry, as listed in Alexandria via LeMat-Bulk.

Results
* DFT total energy: -29.377 eV/atom
* space-group type: I-4m2, No. 119
* V: 55 Å³/f.u.
* calculated formation energy: -11.70 kcal/mol of atoms

Cell lengths 3.8839, 3.8839, 7.2727 Å; angles 90.00, 90.00, 90.00 degrees
Closest atoms and distances in Å follow each position.
Sites, in units of the cell vectors:
Mn  0.0000  0.0000  0.0000  4 Pt 2.66, 8 Zn 2.66-2.75
Mn  0.5000  0.5000  0.5000  4 Pt 2.66, 8 Zn 2.66-2.75
Zn  0.0000  0.0000  0.5000  4 Pt 2.66, 4 Zn 2.66, 4 Mn 2.75
Zn  0.0000  0.5000  0.2500  4 Mn 2.66, 4 Zn 2.66, 4 Pt 2.75
Zn  0.5000  0.0000  0.7500  4 Mn 2.66, 4 Zn 2.66, 4 Pt 2.75
Zn  0.5000  0.5000  0.0000  4 Pt 2.66, 4 Zn 2.66, 4 Mn 2.75
Pt  0.0000  0.5000  0.7500  4 Mn 2.66, 8 Zn 2.66-2.75
Pt  0.5000  0.0000  0.2500  4 Mn 2.66, 8 Zn 2.66-2.75